(1)
Below is a geometry-optimized ErNp4P5 structure, with properties calculated at the PBE-GGA level.

Summary:
Size of the total moment, μB/atom: 1.4945
DFT total energy, eV/atom: -9.355
ΔE_f, eV/atom: -1.017

a = 3.961 Å, b = 5.600 Å, c = 10.483 Å
α = 105.49°, β = 100.89°, γ = 90.00°
Each line ends with the local moment (μB).
Positions (direct):
Er 0.000 0.000 0.000  0.01
Np 0.401 0.401 0.802  3.57
Np 0.800 0.800 0.599  3.58
Np 0.200 0.200 0.401  3.58
Np 0.599 0.599 0.198  3.57
P 0.601 0.101 0.203  -0.09
P 0.801 0.301 0.602  -0.13
P 0.199 0.699 0.398  -0.13
P 0.000 0.500 0.000  -0.10
P 0.399 0.899 0.797  -0.09


(2)
Below is a geometry-optimized ErNp3P4 structure, with properties calculated at the PBE-GGA level.

Summary:
Size of the total moment, μB/atom: 1.3849
DFT total energy, eV/atom: -9.182
ΔE_f, eV/atom: -1.054

a = 3.957 Å, b = 6.855 Å, c = 6.855 Å
α = 109.39°, β = 90.00°, γ = 90.00°
Each line ends with the local moment (μB).
Positions (direct):
Np 0.000 0.000 0.500  3.54
Np 0.500 0.500 0.500  3.57
Np 0.000 0.500 0.000  3.54
P 0.000 0.252 0.252  -0.10
P 0.500 0.749 0.251  -0.11
P 0.000 0.748 0.748  -0.10
P 0.500 0.251 0.749  -0.11
Er 0.500 0.000 0.000  -0.01


(3)
Below is a geometry-optimized Er5NpP6 structure, with properties calculated at the PBE-GGA level.

Summary:
Size of the total moment, μB/atom: 0.2894
DFT total energy, eV/atom: -7.166
ΔE_f, eV/atom: -1.481

a = 6.860 Å, b = 6.860 Å, c = 6.862 Å
α = 60.01°, β = 80.42°, γ = 70.55°
Each line ends with the local moment (μB).
Positions (direct):
Np 0.000 0.000 0.000  -3.40
P 0.751 0.083 0.330  0.04
P 0.249 0.587 0.330  0.04
P 0.248 0.247 0.000  0.04
P 0.752 0.753 0.000  0.04
P 0.751 0.413 0.670  0.04
P 0.249 0.917 0.670  0.04
Er 0.500 0.168 0.665  -0.01
Er 0.000 0.334 0.333  -0.02
Er 0.500 0.500 0.000  -0.01
Er 0.000 0.666 0.667  -0.02
Er 0.500 0.832 0.335  -0.01


(4)
Below is a geometry-optimized Er2NpPaP4 structure, with properties calculated at the PBE-GGA level.

Summary:
Size of the total moment, μB/atom: 0.5449
DFT total energy, eV/atom: -8.002
ΔE_f, eV/atom: -1.351

a = 3.966 Å, b = 6.856 Å, c = 6.877 Å
α = 109.52°, β = 90.00°, γ = 90.00°
Each line ends with the local moment (μB).
Positions (direct):
Er 0.500 0.000 0.500  0.02
Er 0.000 0.500 0.500  0.01
Np 0.000 0.000 0.000  3.65
Pa 0.500 0.500 0.000  0.40
P 0.500 0.250 0.248  -0.05
P 0.500 0.750 0.752  -0.05
P 0.000 0.251 0.750  -0.03
P 0.000 0.749 0.250  -0.03


(5)
Below is a geometry-optimized Pr2ErNpP4 structure, with properties calculated at the PBE-GGA level.

Summary:
Size of the total moment, μB/atom: 0.4476
DFT total energy, eV/atom: -7.450
ΔE_f, eV/atom: -1.362

a = 4.073 Å, b = 7.048 Å, c = 7.078 Å
α = 109.29°, β = 90.00°, γ = 90.00°
Each line ends with the local moment (μB).
Positions (direct):
Pr 0.500 0.000 0.500  0.03
Pr 0.000 0.500 0.500  0.04
Er 0.500 0.500 0.000  0.01
Np 0.000 0.000 0.000  3.47
P 0.500 0.242 0.231  -0.07
P 0.500 0.758 0.769  -0.07
P 0.000 0.252 0.767  -0.04
P 0.000 0.748 0.233  -0.04


(6)
Below is a geometry-optimized ErPu2NpP4 structure, with properties calculated at the PBE-GGA level.

Summary:
Size of the total moment, μB/atom: 0.4413
DFT total energy, eV/atom: -9.642
ΔE_f, eV/atom: -1.166

a = 3.971 Å, b = 6.872 Å, c = 6.874 Å
α = 109.52°, β = 90.00°, γ = 90.00°
Each line ends with the local moment (μB).
Positions (direct):
Er 0.500 0.500 0.000  -0.02
Pu 0.500 0.000 0.500  4.91
Pu 0.000 0.500 0.500  -4.92
Np 0.000 0.000 0.000  -3.40
P 0.500 0.249 0.247  0.08
P 0.500 0.751 0.753  0.08
P 0.000 0.247 0.751  0.00
P 0.000 0.753 0.249  0.00


(7)
Below is a geometry-optimized ErNpSc2P4 structure, with properties calculated at the PBE-GGA level.

Summary:
Size of the total moment, μB/atom: 0.4431
DFT total energy, eV/atom: -7.831
ΔE_f, eV/atom: -1.355

a = 3.856 Å, b = 6.660 Å, c = 6.690 Å
α = 70.60°, β = 90.00°, γ = 90.00°
Each line ends with the local moment (μB).
Positions (direct):
Er 0.000 0.500 0.500  0.02
Np 0.500 0.500 0.000  3.43
Sc 0.000 0.000 0.000  0.04
Sc 0.500 0.000 0.500  0.03
P 0.000 0.761 0.748  -0.06
P 0.000 0.239 0.252  -0.06
P 0.500 0.761 0.243  -0.04
P 0.500 0.239 0.757  -0.04


(8)
Below is a geometry-optimized Er2NpScP4 structure, with properties calculated at the PBE-GGA level.

Summary:
Size of the total moment, μB/atom: 0.4423
DFT total energy, eV/atom: -7.634
ΔE_f, eV/atom: -1.380

a = 3.910 Å, b = 6.758 Å, c = 6.777 Å
α = 109.29°, β = 90.00°, γ = 90.00°
Each line ends with the local moment (μB).
Positions (direct):
Er 0.500 0.000 0.500  0.03
Er 0.000 0.500 0.500  0.01
Np 0.000 0.000 0.000  3.41
Sc 0.500 0.500 0.000  0.04
P 0.500 0.252 0.243  -0.07
P 0.500 0.748 0.757  -0.07
P 0.000 0.256 0.761  -0.04
P 0.000 0.744 0.239  -0.04


(9)
Below is a geometry-optimized Sm2ErNpP4 structure, with properties calculated at the PBE-GGA level.

Summary:
Size of the total moment, μB/atom: 0.4486
DFT total energy, eV/atom: -7.470
ΔE_f, eV/atom: -1.397

a = 4.025 Å, b = 6.970 Å, c = 6.988 Å
α = 109.30°, β = 90.00°, γ = 90.00°
Each line ends with the local moment (μB).
Positions (direct):
Sm 0.500 0.000 0.500  0.03
Sm 0.000 0.500 0.500  0.04
Er 0.500 0.500 0.000  0.01
Np 0.000 0.000 0.000  3.47
P 0.500 0.244 0.238  -0.07
P 0.500 0.756 0.762  -0.07
P 0.000 0.250 0.761  -0.04
P 0.000 0.750 0.239  -0.04


(10)
Below is a geometry-optimized SmEr2NpP4 structure, with properties calculated at the PBE-GGA level.

Summary:
Size of the total moment, μB/atom: 0.4542
DFT total energy, eV/atom: -7.456
ΔE_f, eV/atom: -1.403

a = 3.993 Å, b = 6.930 Å, c = 6.914 Å
α = 109.35°, β = 90.00°, γ = 90.00°
Each line ends with the local moment (μB).
Positions (direct):
Sm 0.500 0.500 0.000  0.03
Er 0.500 0.000 0.500  0.01
Er 0.000 0.500 0.500  0.01
Np 0.000 0.000 0.000  3.52
P 0.500 0.245 0.251  -0.07
P 0.500 0.755 0.749  -0.07
P 0.000 0.242 0.747  -0.04
P 0.000 0.758 0.253  -0.04


(11)
Below is a geometry-optimized Sr2ErNpP4 structure, with properties calculated at the PBE-GGA level.

Summary:
Size of the total moment, μB/atom: 0.2493
DFT total energy, eV/atom: -6.425
ΔE_f, eV/atom: -1.111

a = 4.138 Å, b = 7.083 Å, c = 7.304 Å
α = 108.83°, β = 90.00°, γ = 90.00°
Each line ends with the local moment (μB).
Positions (direct):
Sr 0.500 0.000 0.500  -0.01
Sr 0.000 0.500 0.500  -0.03
Er 0.500 0.500 0.000  -0.05
Np 0.000 0.000 0.000  2.81
P 0.500 0.230 0.211  -0.10
P 0.500 0.770 0.789  -0.10
P 0.000 0.251 0.786  -0.09
P 0.000 0.749 0.214  -0.09


(12)
Below is a geometry-optimized Tb2ErNpP4 structure, with properties calculated at the PBE-GGA level.

Summary:
Size of the total moment, μB/atom: 0.4497
DFT total energy, eV/atom: -7.471
ΔE_f, eV/atom: -1.420

a = 3.986 Å, b = 6.904 Å, c = 6.913 Å
α = 109.32°, β = 90.00°, γ = 90.00°
Each line ends with the local moment (μB).
Positions (direct):
Tb 0.500 0.000 0.500  0.03
Tb 0.000 0.500 0.500  0.03
Er 0.500 0.500 0.000  0.02
Np 0.000 0.000 0.000  3.48
P 0.500 0.246 0.244  -0.07
P 0.500 0.754 0.756  -0.07
P 0.000 0.249 0.756  -0.04
P 0.000 0.751 0.244  -0.04


(13)
Below is a geometry-optimized Er2ThNpP4 structure, with properties calculated at the PBE-GGA level.

Summary:
Size of the total moment, μB/atom: 0.4878
DFT total energy, eV/atom: -7.794
ΔE_f, eV/atom: -1.404

a = 4.020 Å, b = 6.956 Å, c = 6.950 Å
α = 109.55°, β = 90.00°, γ = 90.00°
Each line ends with the local moment (μB).
Positions (direct):
Er 0.500 0.000 0.500  0.01
Er 0.000 0.500 0.500  0.01
Th 0.500 0.500 0.000  0.04
Np 0.000 0.000 0.000  3.66
P 0.500 0.245 0.252  -0.06
P 0.500 0.755 0.748  -0.06
P 0.000 0.242 0.743  -0.02
P 0.000 0.758 0.257  -0.02


(14)
Below is a geometry-optimized ErTh2NpP4 structure, with properties calculated at the PBE-GGA level.

Summary:
Size of the total moment, μB/atom: 0.5089
DFT total energy, eV/atom: -8.136
ΔE_f, eV/atom: -1.388

a = 4.073 Å, b = 7.039 Å, c = 7.006 Å
α = 109.64°, β = 90.00°, γ = 90.00°
Each line ends with the local moment (μB).
Positions (direct):
Er 0.000 0.000 0.000  0.03
Th 0.500 0.000 0.500  0.05
Th 0.000 0.500 0.500  0.06
Np 0.500 0.500 0.000  3.66
P 0.500 0.247 0.239  -0.02
P 0.500 0.753 0.761  -0.02
P 0.000 0.255 0.762  -0.05
P 0.000 0.745 0.238  -0.05


(15)
Below is a geometry-optimized ErTmNp2P4 structure, with properties calculated at the PBE-GGA level.

Summary:
Size of the total moment, μB/atom: 0.9141
DFT total energy, eV/atom: -8.305
ΔE_f, eV/atom: -1.235

a = 3.954 Å, b = 6.850 Å, c = 6.842 Å
α = 109.49°, β = 90.00°, γ = 90.00°
Each line ends with the local moment (μB).
Positions (direct):
Er 0.000 0.000 0.000  0.00
Tm 0.500 0.500 0.000  0.00
Np 0.500 0.000 0.500  3.55
Np 0.000 0.500 0.500  3.54
P 0.500 0.252 0.253  -0.08
P 0.500 0.748 0.747  -0.08
P 0.000 0.250 0.747  -0.08
P 0.000 0.750 0.253  -0.08


(16)
Below is a geometry-optimized YErNp2P4 structure, with properties calculated at the PBE-GGA level.

Summary:
Size of the total moment, μB/atom: 0.9157
DFT total energy, eV/atom: -8.560
ΔE_f, eV/atom: -1.241

a = 3.970 Å, b = 6.877 Å, c = 6.874 Å
α = 109.47°, β = 90.00°, γ = 90.00°
Each line ends with the local moment (μB).
Positions (direct):
Y 0.500 0.500 0.000  0.02
Er 0.000 0.000 0.000  0.00
Np 0.500 0.000 0.500  3.53
Np 0.000 0.500 0.500  3.56
P 0.500 0.250 0.255  -0.08
P 0.500 0.750 0.745  -0.08
P 0.000 0.246 0.744  -0.08
P 0.000 0.754 0.256  -0.08


(17)
Below is a geometry-optimized YEr2NpP4 structure, with properties calculated at the PBE-GGA level.

Summary:
Size of the total moment, μB/atom: 0.4533
DFT total energy, eV/atom: -7.694
ΔE_f, eV/atom: -1.422

a = 3.969 Å, b = 6.882 Å, c = 6.877 Å
α = 109.34°, β = 90.00°, γ = 90.00°
Each line ends with the local moment (μB).
Positions (direct):
Y 0.000 0.000 0.000  0.03
Er 0.500 0.000 0.500  0.01
Er 0.000 0.500 0.500  0.02
Np 0.500 0.500 0.000  3.50
P 0.500 0.254 0.250  -0.04
P 0.500 0.746 0.750  -0.04
P 0.000 0.253 0.751  -0.07
P 0.000 0.747 0.249  -0.07


(18)
Below is a geometry-optimized ErZrNp2P4 structure, with properties calculated at the PBE-GGA level.

Summary:
Size of the total moment, μB/atom: 0.0049
DFT total energy, eV/atom: -8.760
ΔE_f, eV/atom: -1.181

a = 3.889 Å, b = 6.762 Å, c = 6.739 Å
α = 109.36°, β = 90.00°, γ = 90.00°
Each line ends with the local moment (μB).
Positions (direct):
Er 0.500 0.500 0.000  0.01
Zr 0.000 0.000 0.000  -0.02
Np 0.500 0.000 0.500  -3.47
Np 0.000 0.500 0.500  3.54
P 0.500 0.242 0.243  -0.02
P 0.500 0.758 0.757  -0.02
P 0.000 0.244 0.753  0.03
P 0.000 0.756 0.247  0.03


(19)
Below is a geometry-optimized ErZr2NpP4 structure, with properties calculated at the PBE-GGA level.

Summary:
Size of the total moment, μB/atom: 0.4583
DFT total energy, eV/atom: -8.358
ΔE_f, eV/atom: -1.328

a = 3.833 Å, b = 6.635 Å, c = 6.679 Å
α = 109.25°, β = 90.00°, γ = 90.00°
Each line ends with the local moment (μB).
Positions (direct):
Er 0.000 0.000 0.000  0.03
Zr 0.500 0.000 0.500  0.01
Zr 0.000 0.500 0.500  0.05
Np 0.500 0.500 0.000  3.49
P 0.500 0.255 0.260  -0.02
P 0.500 0.745 0.740  -0.02
P 0.000 0.248 0.740  -0.05
P 0.000 0.752 0.260  -0.05


(20)
Below is a geometry-optimized ErNp2PaSb4 structure, with properties calculated at the PBE-GGA level.

Summary:
Size of the total moment, μB/atom: 1.1491
Raw formation energy, eV/atom: -0.491
DFT total energy, eV/atom: -7.545

a = 4.390 Å, b = 7.591 Å, c = 7.572 Å
α = 109.56°, β = 90.00°, γ = 90.00°
Each line ends with the local moment (μB).
Positions (direct):
Er 0.000 0.000 0.000  0.04
Np 0.500 0.000 0.500  -3.96
Np 0.000 0.500 0.500  -3.98
Pa 0.500 0.500 0.000  -0.73
Sb 0.500 0.248 0.246  0.06
Sb 0.500 0.752 0.754  0.06
Sb 0.000 0.249 0.753  0.05
Sb 0.000 0.751 0.247  0.05


(21)
Below is a geometry-optimized ErNpPb2 structure, with properties calculated at the PBE-GGA level.

Summary:
Size of the total moment, μB/atom: 1.2533
DFT total energy, eV/atom: -6.245
ΔE_f, eV/atom: -0.015

a = 4.444 Å, b = 4.999 Å, c = 4.999 Å
α = 90.00°, β = 90.00°, γ = 90.00°
Each line ends with the local moment (μB).
Positions (direct):
Np 0.500 0.000 0.000  4.21
Pb 0.000 0.000 0.500  -0.04
Pb 0.000 0.500 0.000  -0.04
Er 0.500 0.500 0.500  0.40


(22)
Below is a geometry-optimized ErNp3Pd12 structure, with properties calculated at the PBE-GGA level.

Summary:
Size of the total moment, μB/atom: 0.4139
DFT total energy, eV/atom: -7.117
ΔE_f, eV/atom: -0.511

a = 4.124 Å, b = 4.124 Å, c = 16.548 Å
α = 90.00°, β = 90.00°, γ = 90.00°
Each line ends with the local moment (μB).
Positions (direct):
Er 0.000 0.000 0.000  0.00
Np 0.000 0.000 0.247  3.42
Np 0.000 0.000 0.500  -0.20
Np 0.000 0.000 0.753  3.42
Pd 0.500 0.500 0.000  -0.01
Pd 0.500 0.500 0.250  -0.04
Pd 0.500 0.500 0.500  0.00
Pd 0.500 0.500 0.750  -0.04
Pd 0.500 0.000 0.125  -0.02
Pd 0.500 0.000 0.376  -0.01
Pd 0.500 0.000 0.624  -0.01
Pd 0.500 0.000 0.875  -0.02
Pd 0.000 0.500 0.125  -0.02
Pd 0.000 0.500 0.376  -0.01
Pd 0.000 0.500 0.624  -0.01
Pd 0.000 0.500 0.875  -0.02


(23)
Below is a geometry-optimized Er2NpPd9 structure, with properties calculated at the PBE-GGA level.

Summary:
Size of the total moment, μB/atom: 0.2148
DFT total energy, eV/atom: -6.499
ΔE_f, eV/atom: -0.765

a = 4.110 Å, b = 4.110 Å, c = 12.343 Å
α = 90.00°, β = 90.00°, γ = 90.00°
Each line ends with the local moment (μB).
Positions (direct):
Er 0.000 0.000 0.337  -0.03
Er 0.000 0.000 0.663  -0.03
Np 0.000 0.000 0.000  3.13
Pd 0.500 0.500 0.000  -0.10
Pd 0.500 0.500 0.333  -0.02
Pd 0.500 0.500 0.667  -0.02
Pd 0.500 0.000 0.164  -0.07
Pd 0.500 0.000 0.500  -0.02
Pd 0.500 0.000 0.836  -0.07
Pd 0.000 0.500 0.164  -0.07
Pd 0.000 0.500 0.500  -0.02
Pd 0.000 0.500 0.836  -0.07


(24)
Below is a geometry-optimized ErNpPd structure, with properties calculated at the PBE-GGA level.

Summary:
Size of the total moment, μB/atom: 0.6313
DFT total energy, eV/atom: -7.872
ΔE_f, eV/atom: -0.307

a = 7.874 Å, b = 7.874 Å, c = 8.794 Å
α = 142.64°, β = 142.64°, γ = 25.73°
Each line ends with the local moment (μB).
Positions (direct):
Np 0.310 0.310 0.659  1.75
Np 0.690 0.690 0.341  1.75
Pd 0.649 0.649 0.651  0.02
Pd 0.351 0.351 0.349  0.02
Er 0.071 0.071 0.802  0.03
Er 0.929 0.929 0.198  0.03